Density functional theory data (GGA-PBE) for an optimized crystal structure of PuBr2O8.

abc: 3.7628 4.0255 12.5573
angles: 87.45 88.95 74.88
With the nearest neighbours (Å) after each atom.
Element x y z (fractional)
Pu  0.0000  0.0000  0.0000  6 O 2.25-2.39
Br  0.4369  0.6743  0.6114  1 O 1.73
Br  0.5631  0.3257  0.3886  1 O 1.73
O  0.0607  0.0700  0.8228  1 O 1.35
O  0.1643  0.1389  0.1614  1 O 1.35
O  0.3949  0.7548  0.4186  1 Br 1.73
O  0.4200  0.4014  0.9629  1 O 1.48
O  0.5800  0.5986  0.0371  1 O 1.48
O  0.6051  0.2452  0.5814  1 Br 1.73
O  0.8357  0.8611  0.8386  1 O 1.35
O  0.9393  0.9300  0.1772  1 O 1.35

Computed properties:
* energy relative to the elements, uncorrected: -5.308 eV per formula unit
* size of the total moment: 2.3 μB per formula unit
* symmetry: P-1



Density functional theory data (GGA-PBE) for an optimized crystal structure of PaPd14Au.

abc: 5.7511 5.7511 7.8213
angles: 90.00 90.00 90.00
With the nearest neighbours (Å) after each atom.
Element x y z (fractional)
Pa  0.0000  0.0000  0.0000  12 Pd 2.82-2.88
Pd  0.0000  0.0000  0.5000  12 Pd 2.80-2.88
Pd  0.0000  0.5000  0.0000  8 Pd 2.83, 2 Au 2.88, 2 Pa 2.88
Pd  0.0000  0.5000  0.5000  12 Pd 2.81-2.88
Pd  0.2480  0.2480  0.2516  10 Pd 2.80-2.90, 1 Pa 2.82, 1 Au 2.84
Pd  0.2480  0.2480  0.7484  10 Pd 2.80-2.90, 1 Pa 2.82, 1 Au 2.84
Pd  0.2480  0.7520  0.2516  10 Pd 2.80-2.90, 1 Pa 2.82, 1 Au 2.84
Pd  0.2480  0.7520  0.7484  10 Pd 2.80-2.90, 1 Pa 2.82, 1 Au 2.84
Pd  0.5000  0.0000  0.0000  8 Pd 2.83, 2 Au 2.88, 2 Pa 2.88
Pd  0.5000  0.0000  0.5000  12 Pd 2.81-2.88
Pd  0.5000  0.5000  0.5000  12 Pd 2.82-2.88
Pd  0.7520  0.2480  0.2516  10 Pd 2.80-2.90, 1 Pa 2.82, 1 Au 2.84
Pd  0.7520  0.2480  0.7484  10 Pd 2.80-2.90, 1 Pa 2.82, 1 Au 2.84
Pd  0.7520  0.7520  0.2516  10 Pd 2.80-2.90, 1 Pa 2.82, 1 Au 2.84
Pd  0.7520  0.7520  0.7484  10 Pd 2.80-2.90, 1 Pa 2.82, 1 Au 2.84
Au  0.5000  0.5000  0.0000  12 Pd 2.84-2.88

Computed properties:
* energy of formation: -0.28 eV per atom
* size of the total moment: 0.0 μB per formula unit
* symmetry: P4/mmm



Density functional theory data (GGA-PBE) for an optimized crystal structure of Ca2In6CuAg.

abc: 12.9677 12.9677 12.9677
angles: 31.69 31.69 31.69
With the nearest neighbours (Å) after each atom.
Element x y z (fractional)
Ca  0.1058  0.1058  0.1058  12 In 3.53-3.85, 1 Cu 3.91
Ca  0.2798  0.2798  0.2798  12 In 3.44-3.67
Ca  0.7202  0.7202  0.7202  12 In 3.44-3.67
Ca  0.8942  0.8942  0.8942  12 In 3.53-3.85, 1 Cu 3.91
In  0.0817  0.6603  0.6603  1 Cu 2.65, 1 Ag 2.82
In  0.2190  0.2190  0.6610  1 Cu 2.59, 1 Ag 2.84
In  0.2190  0.6610  0.2190  1 Cu 2.59, 1 Ag 2.84
In  0.3390  0.7810  0.7810  1 Cu 2.59, 1 Ag 2.84
In  0.3397  0.3397  0.9183  1 Cu 2.65, 1 Ag 2.82
In  0.3397  0.9183  0.3397  1 Cu 2.65, 1 Ag 2.82
In  0.6603  0.0817  0.6603  1 Cu 2.65, 1 Ag 2.82
In  0.6603  0.6603  0.0817  1 Cu 2.65, 1 Ag 2.82
In  0.6610  0.2190  0.2190  1 Cu 2.59, 1 Ag 2.84
In  0.7810  0.3390  0.7810  1 Cu 2.59, 1 Ag 2.84
In  0.7810  0.7810  0.3390  1 Cu 2.59, 1 Ag 2.84
In  0.9183  0.3397  0.3397  1 Cu 2.65, 1 Ag 2.82
Cu  0.0000  0.0000  0.0000  6 In 2.59
Cu  0.5000  0.5000  0.5000  6 In 2.65, 2 Ag 2.75
Ag  0.4256  0.4256  0.4256  1 Cu 2.75, 6 In 2.82-2.84
Ag  0.5744  0.5744  0.5744  1 Cu 2.75, 6 In 2.82-2.84

Computed properties:
* energy of formation: -0.13 eV per atom
* size of the total moment: 0.0 μB per formula unit
* symmetry: R-3m



Density functional theory data (GGA-PBE) for an optimized crystal structure of Ti2CdTcAu.

abc: 4.8303 4.8303 4.9356
angles: 90.00 90.00 90.00
With the nearest neighbours (Å) after each atom.
Element x y z (fractional)
Ti  0.0000  0.5000  0.0000  2 Au 2.42
Ti  0.5000  0.0000  0.0000  2 Au 2.42
Cd  0.0000  0.0000  0.5000  2 Au 2.47
Tc  0.5000  0.5000  0.5000  4 Cd 3.42, 8 Ti 3.45
Au  0.0000  0.0000  0.0000  4 Ti 2.42, 2 Cd 2.47

Computed properties:
* energy of formation: 1.29 eV per atom
* size of the total moment: 0.0 μB per formula unit
* symmetry: P4/mmm



Question: Which of these has the highest size of the total moment?
Answer: PuBr2O8



Question: The highest size of the total moment belongs to which entry?
Answer: PuBr2O8



Question: What is the size of the total moment in the first record?
Answer: 2.3 μB per formula unit